This record from Alexandria describes crystalline La3TeOsCl at its relaxed geometry. The functional is PBE.

The structure belongs to space group P2_1/m (No. 11); the cell edges are 9.0932, 4.3550 and 10.4248 Å and the angles 90.00°, 94.75° and 90.00°. Symmetry generates all atoms from La at (0.0974, 0.2500, 0.3613), La at (0.1666, 0.2500, 0.8996), La at (0.3493, 0.7500, 0.6422), Te at (0.3718, 0.7500, 0.3282), Os at (0.1281, 0.2500, 0.6548) and Cl at (0.3703, 0.7500, 0.9266).

The value obtained for the total magnetization is 0.00 μB per formula unit. The volume is 34.28 A^3/atom. The density of states at the Fermi level is 6.21 states/eV per cell. The energy relative to the elements, uncorrected comes out at -1012 meV/atom. The value obtained for the mass density is 6.2 g/cm³.

This record from Alexandria describes crystalline V3ZnRh at its relaxed geometry. The functional is PBE.

The structure belongs to space group Pm-3m (No. 221); the cell edges are 4.5526, 4.5526 and 4.5526 Å and the angles 90.00°, 90.00° and 90.00°. Symmetry generates all atoms from V at (0.0000, 0.0000, 0.5000), Zn at (0.5000, 0.5000, 0.5000) and Rh at (0.0000, 0.0000, 0.0000).

The value obtained for the total magnetization is 0.64 μB per formula unit. The volume is 18.87 A^3/atom. The density of states at the Fermi level is 7.55 states/eV per cell. The formation energy is 5.17 eV/f.u. The value obtained for the mass density is 5.7 g/cm³. For the polymorph energy (0 for the lowest one), the calculation gives 0.0 meV/atom.

Q: What is the mass density in the first record?
A: 6.2 g/cm³

Q: The lowest volume belongs to which entry?
A: V3ZnRh